(P)
Below is crystalline Tl3TeS at its relaxed geometry, with properties calculated at the PBE level.

a = 5.6385 Å, b = 5.6385 Å, c = 5.6385 Å
α = 90.00°, β = 90.00°, γ = 90.00°
Last column: nearest neighbours and their distance in Å.
Positions (direct):
Tl: 0.0000 0.5000 0.0000  2 S 2.82
Tl: 0.0000 0.0000 0.5000  2 S 2.82
Tl: 0.5000 0.0000 0.0000  2 S 2.82
Te: 0.5000 0.5000 0.5000  12 Tl 3.99
S: 0.0000 0.0000 0.0000  6 Tl 2.82

Summary:
Calculated volume   179.3 Å³ per cell

(Q)
Below is crystalline Tl3TeS at its relaxed geometry, with properties calculated at the PBE level.

a = 5.2718 Å, b = 7.7400 Å, c = 10.4508 Å
α = 108.65°, β = 90.00°, γ = 90.00°
Last column: nearest neighbours and their distance in Å.
Positions (direct):
Tl: 0.7500 0.0579 0.6498  1 S 2.80
Tl: 0.7500 0.5429 0.6337  1 S 2.76
Tl: 0.2500 0.9421 0.3502  1 S 2.80
Tl: 0.2500 0.4571 0.3663  1 S 2.76
Tl: 0.2500 0.7691 0.9460  3 S 2.96-3.06
Tl: 0.7500 0.2309 0.0540  3 S 2.96-3.06
Te: 0.2500 0.2978 0.6260  6 Tl 3.23-3.32
Te: 0.7500 0.7022 0.3740  6 Tl 3.23-3.32
S: 0.2500 0.1280 0.1601  5 Tl 2.76-3.06
S: 0.7500 0.8720 0.8399  5 Tl 2.76-3.06

Summary:
Calculated volume   404.0 Å³ per cell

The structure with the least stability is (P).